{
  "formula": "Tb2AlPd",
  "functional": "PBE-GGA",
  "state": "relaxed",
  "lattice": [[3.5579, 0.0000, 0.0000], [0.0000, 3.5579, 0.0000], [0.0000, 0.0000, 7.2144]],
  "species": ["Al", "Tb", "Tb", "Pd"],
  "frac_coords": [[0.5000, 0.5000, 0.5000], [0.0000, 0.0000, 0.7615], [0.0000, 0.0000, 0.2385], [0.5000, 0.5000, 0.0000]],
  "e_form_ev_per_atom": -0.63,
  "crystal_system": "tetragonal",
  "dos_ef_per_ev_cell": 1.8,
  "m_tot_mub_per_fu": 0.00,
  "rho_g_cm3": 8.2
}

{
  "formula": "Zr2HgPd",
  "functional": "PBE-GGA",
  "state": "relaxed",
  "lattice": [[4.7449, 0.0000, 0.0000], [0.0000, 5.3931, -2.5874], [0.0000, -1.4087, 7.0001]],
  "species": ["Zr", "Zr", "Zr", "Zr", "Hg", "Hg", "Pd", "Pd"],
  "frac_coords": [[0.7500, 0.2972, 0.3919], [0.2500, 0.7028, 0.6081], [0.2500, 0.8666, 0.2378], [0.7500, 0.1334, 0.7622], [0.7500, 0.7349, 0.9126], [0.2500, 0.2651, 0.0874], [0.2500, 0.3280, 0.7100], [0.7500, 0.6720, 0.2900]],
  "e_form_ev_per_atom": -0.38,
  "crystal_system": "monoclinic",
  "dos_ef_per_ev_cell": 8.3,
  "m_tot_mub_per_fu": 0.00,
  "rho_g_cm3": 10.0
}

{
  "formula": "PmTiI2",
  "functional": "PBE-GGA",
  "state": "relaxed",
  "lattice": [[-1.8545, 3.2999, 0.4618], [-3.7355, 0.2074, -0.7383], [-3.9183, -1.3421, 9.5995]],
  "species": ["Pm", "I", "I", "Ti"],
  "frac_coords": [[0.5000, 0.5000, 0.5000], [0.0916, 0.0916, 0.7251], [0.9084, 0.9084, 0.2749], [0.0000, 0.0000, 0.0000]],
  "crystal_system": "trigonal",
  "dos_ef_per_ev_cell": 4.3,
  "m_tot_mub_per_fu": 2.53,
  "rho_g_cm3": 5.8,
  "e_form_raw_ev_per_atom": -0.25
}

{
  "formula": "CeThCd2",
  "functional": "PBE-GGA",
  "state": "relaxed",
  "lattice": [[4.8439, 0.0000, 0.0000], [0.0000, 4.6836, 0.0000], [0.0000, 0.0000, 4.6836]],
  "species": ["Cd", "Cd", "Th", "Ce"],
  "frac_coords": [[0.0000, 0.0000, 0.5000], [0.0000, 0.5000, 0.0000], [0.5000, 0.5000, 0.5000], [0.5000, 0.0000, 0.0000]],
  "e_form_ev_per_atom": -0.12,
  "crystal_system": "tetragonal",
  "dos_ef_per_ev_cell": 7.6,
  "m_tot_mub_per_fu": 0.82,
  "rho_g_cm3": 9.3
}

{
  "formula": "MgPdAu",
  "functional": "PBE-GGA",
  "state": "relaxed",
  "lattice": [[5.6977, 0.0000, -0.0277], [0.0000, 4.1008, 0.0000], [-2.2742, 0.0000, 8.6116]],
  "species": ["Pd", "Pd", "Pd", "Pd", "Au", "Au", "Au", "Au", "Mg", "Mg", "Mg", "Mg"],
  "frac_coords": [[0.2327, 0.0000, 0.7194], [0.2327, 0.5000, 0.2194], [0.9146, 0.0000, 0.0464], [0.9146, 0.5000, 0.5464], [0.5968, 0.0000, 0.3754], [0.4101, 0.0000, 0.0479], [0.5968, 0.5000, 0.8754], [0.4101, 0.5000, 0.5479], [0.7362, 0.0000, 0.7022], [0.7362, 0.5000, 0.2022], [0.1006, 0.5000, 0.8914], [0.1006, 0.0000, 0.3914]],
  "e_form_ev_per_atom": -0.58,
  "crystal_system": "monoclinic",
  "dos_ef_per_ev_cell": 2.0,
  "m_tot_mub_per_fu": 0.00,
  "rho_g_cm3": 10.8
}

{
  "formula": "SrBe2Os",
  "functional": "PBE-GGA",
  "state": "relaxed",
  "lattice": [[-2.2308, -5.2416, -0.8723], [1.5282, -5.5459, 0.3444], [-1.3433, -4.7590, 2.9595]],
  "species": ["Be", "Be", "Os", "Sr"],
  "frac_coords": [[0.5647, 0.5647, 0.5647], [0.9353, 0.9353, 0.9353], [0.2500, 0.2500, 0.2500], [0.7500, 0.7500, 0.7500]],
  "e_form_ev_per_atom": 0.09,
  "crystal_system": "trigonal",
  "dos_ef_per_ev_cell": 2.7,
  "m_tot_mub_per_fu": 0.00,
  "rho_g_cm3": 6.8
}

{
  "formula": "RbAl2Cd2",
  "functional": "PBE-GGA",
  "state": "relaxed",
  "lattice": [[-4.5897, -1.5991, 0.5586], [1.2410, -2.0766, 4.2523], [-3.0237, 2.9974, 5.1605]],
  "species": ["Cd", "Cd", "Rb", "Al", "Al"],
  "frac_coords": [[0.2500, 0.7500, 0.5000], [0.7500, 0.2500, 0.5000], [0.0000, 0.0000, 0.0000], [0.3815, 0.3815, 0.2370], [0.6185, 0.6185, 0.7630]],
  "e_form_ev_per_atom": 0.12,
  "crystal_system": "tetragonal",
  "dos_ef_per_ev_cell": 2.9,
  "m_tot_mub_per_fu": 0.00,
  "rho_g_cm3": 4.4
}

{
  "formula": "CrSbTe2Br",
  "functional": "PBE-GGA",
  "state": "relaxed",
  "lattice": [[5.0558, 0.0000, 0.0000], [0.0000, 5.0558, 0.0000], [0.0000, 0.0000, 5.3055]],
  "species": ["Cr", "Br", "Sb", "Te", "Te"],
  "frac_coords": [[0.0000, 0.0000, 0.0000], [0.5000, 0.5000, 0.5000], [0.0000, 0.0000, 0.5000], [0.0000, 0.5000, 0.0000], [0.5000, 0.0000, 0.0000]],
  "crystal_system": "tetragonal",
  "dos_ef_per_ev_cell": 5.5,
  "m_tot_mub_per_fu": 1.10,
  "rho_g_cm3": 6.2,
  "e_form_raw_ev_per_atom": 0.26
}

{
  "formula": "RbFeBr2",
  "functional": "PBE-GGA",
  "state": "relaxed",
  "lattice": [[-5.1683, 5.6033, -2.5558], [-4.9512, 5.5413, 3.0691], [-0.8318, 7.9958, 0.1203]],
  "species": ["Rb", "Br", "Br", "Fe"],
  "frac_coords": [[0.5000, 0.5000, 0.5000], [0.8953, 0.8953, 0.8953], [0.1047, 0.1047, 0.1047], [0.0000, 0.0000, 0.0000]],
  "crystal_system": "trigonal",
  "dos_ef_per_ev_cell": 5.4,
  "m_tot_mub_per_fu": 3.00,
  "rho_g_cm3": 2.5,
  "e_form_raw_ev_per_atom": -0.54
}

{
  "formula": "SmAg2TeO4",
  "functional": "PBE-GGA",
  "state": "relaxed",
  "lattice": [[-5.0309, -2.7532, 4.0610], [-2.1622, -0.6416, -6.6555], [6.4776, -3.2896, 1.0858]],
  "species": ["O", "O", "O", "O", "O", "O", "O", "O", "Te", "Te", "Ag", "Ag", "Ag", "Ag", "Sm", "Sm"],
  "frac_coords": [[0.3049, 0.4251, 0.6498], [0.2768, 0.6545, 0.3962], [0.9251, 0.8049, 0.1498], [0.8455, 0.2232, 0.1038], [0.7232, 0.3455, 0.6038], [0.1545, 0.7768, 0.8962], [0.6951, 0.5749, 0.3502], [0.0749, 0.1951, 0.8502], [0.0000, 0.0000, 0.0000], [0.5000, 0.5000, 0.5000], [0.5000, 0.0000, 0.5000], [0.0000, 0.0000, 0.5000], [0.5000, 0.5000, 0.0000], [0.5000, 0.0000, 0.0000], [0.0000, 0.5000, 0.0000], [0.0000, 0.5000, 0.5000]],
  "crystal_system": "monoclinic",
  "dos_ef_per_ev_cell": 2.2,
  "m_tot_mub_per_fu": 0.00,
  "rho_g_cm3": 6.8,
  "e_form_raw_ev_per_atom": -1.25
}

{
  "formula": "Ti3AlIr4",
  "functional": "PBE-GGA",
  "state": "relaxed",
  "lattice": [[4.5418, 0.0000, 0.0000], [0.0000, 5.8408, 0.0000], [0.0000, 0.0000, 8.9609]],
  "species": ["Al", "Al", "Ti", "Ti", "Ti", "Ti", "Ti", "Ti", "Ir", "Ir", "Ir", "Ir", "Ir", "Ir", "Ir", "Ir"],
  "frac_coords": [[0.0000, 0.5000, 0.0000], [0.0000, 0.5000, 0.5000], [0.4415, 0.0000, 0.2500], [0.0000, 0.0000, 0.5000], [0.0000, 0.0000, 0.0000], [0.5585, 0.0000, 0.7500], [0.5731, 0.5000, 0.7500], [0.4269, 0.5000, 0.2500], [0.0728, 0.2526, 0.7500], [0.9272, 0.7474, 0.2500], [0.9272, 0.2526, 0.2500], [0.5000, 0.2488, 0.0000], [0.5000, 0.7512, 0.5000], [0.0728, 0.7474, 0.7500], [0.5000, 0.2488, 0.5000], [0.5000, 0.7512, 0.0000]],
  "e_form_ev_per_atom": -0.86,
  "crystal_system": "orthorhombic",
  "dos_ef_per_ev_cell": 14.7,
  "m_tot_mub_per_fu": 0.00,
  "rho_g_cm3": 13.1
}

{
  "formula": "Sm6Tc2Au",
  "functional": "PBE-GGA",
  "state": "relaxed",
  "lattice": [[8.0451, 0.0354, -2.9944], [-4.2083, 7.0767, -2.4292], [-0.1450, -0.0354, 8.5830]],
  "species": ["Tc", "Tc", "Tc", "Tc", "Sm", "Sm", "Sm", "Sm", "Sm", "Sm", "Sm", "Sm", "Sm", "Sm", "Sm", "Sm", "Au", "Au"],
  "frac_coords": [[0.6763, 0.0000, 0.6763], [0.5000, 0.6127, 0.1127], [0.3237, 0.0000, 0.3237], [0.5000, 0.3873, 0.8873], [0.0889, 0.2712, 0.8177], [0.5465, 0.7288, 0.8177], [0.6871, 0.3557, 0.6686], [0.1952, 0.2478, 0.4430], [0.3129, 0.9816, 0.6686], [0.8048, 0.7522, 0.5570], [0.1952, 0.7522, 0.9474], [0.8048, 0.2478, 0.0526], [0.4535, 0.2712, 0.1823], [0.3129, 0.6443, 0.3314], [0.9111, 0.7288, 0.1823], [0.6871, 0.0184, 0.3314], [0.0000, 0.5000, 0.5000], [0.0000, 0.0000, 0.0000]],
  "e_form_ev_per_atom": -0.17,
  "crystal_system": "orthorhombic",
  "dos_ef_per_ev_cell": 17.4,
  "m_tot_mub_per_fu": 0.00,
  "rho_g_cm3": 8.9
}

{
  "formula": "Pm3Pd3Au",
  "functional": "PBE-GGA",
  "state": "relaxed",
  "lattice": [[3.9045, 0.0000, 0.5882], [1.9009, 5.3680, 0.6349], [-0.3534, 0.3420, 15.6001]],
  "species": ["Pm", "Pm", "Pm", "Pm", "Pm", "Pm", "Pd", "Pd", "Pd", "Pd", "Pd", "Pd", "Au", "Au"],
  "frac_coords": [[0.5111, 0.3638, 0.6140], [0.2785, 0.2217, 0.2213], [0.6095, 0.7063, 0.0748], [0.7215, 0.7783, 0.7787], [0.4889, 0.6362, 0.3860], [0.3905, 0.2937, 0.9252], [0.8626, 0.7479, 0.5270], [0.8872, 0.1515, 0.0742], [0.1128, 0.8485, 0.9258], [0.9964, 0.2299, 0.7773], [0.0036, 0.7701, 0.2227], [0.1374, 0.2521, 0.4730], [0.7800, 0.0725, 0.3675], [0.2200, 0.9275, 0.6325]],
  "e_form_ev_per_atom": -0.80,
  "crystal_system": "monoclinic",
  "dos_ef_per_ev_cell": 9.0,
  "m_tot_mub_per_fu": 0.00,
  "rho_g_cm3": 9.6
}

{
  "formula": "Cs3Mn2CuCl9",
  "functional": "PBE-GGA",
  "state": "relaxed",
  "lattice": [[7.1695, 0.0000, 0.0000], [-3.5847, 6.2089, 0.0000], [0.0000, 0.0000, 8.7869]],
  "species": ["Cl", "Cl", "Cl", "Cl", "Cl", "Cl", "Cl", "Cl", "Cl", "Cs", "Cs", "Cs", "Mn", "Mn", "Cu"],
  "frac_coords": [[0.5000, 0.0000, 0.0000], [0.5000, 0.5000, 0.0000], [0.1679, 0.3359, 0.3315], [0.0000, 0.5000, 0.0000], [0.6641, 0.8321, 0.3315], [0.8321, 0.1679, 0.6685], [0.3359, 0.1679, 0.6685], [0.1679, 0.8321, 0.3315], [0.8321, 0.6641, 0.6685], [0.6667, 0.3333, 0.3352], [0.0000, 0.0000, 0.0000], [0.3333, 0.6667, 0.6648], [0.6667, 0.3333, 0.8251], [0.3333, 0.6667, 0.1749], [0.0000, 0.0000, 0.5000]],
  "crystal_system": "trigonal",
  "dos_ef_per_ev_cell": 2.1,
  "m_tot_mub_per_fu": 9.00,
  "rho_g_cm3": 3.8,
  "e_form_raw_ev_per_atom": -1.36
}

{
  "formula": "Rb2HoNp2S6",
  "functional": "PBE-GGA",
  "state": "relaxed",
  "lattice": [[6.9837, -0.0270, 0.0730], [-3.4752, 6.0577, 0.0730], [-1.2355, -2.1237, 7.7945]],
  "species": ["S", "S", "S", "S", "S", "S", "Ho", "Np", "Np", "Rb", "Rb"],
  "frac_coords": [[0.2728, 0.2728, 0.3151], [0.0588, 0.3962, 0.6843], [0.6038, 0.9412, 0.3157], [0.9412, 0.6038, 0.3157], [0.3962, 0.0588, 0.6843], [0.7272, 0.7272, 0.6849], [0.0000, 0.0000, 0.5000], [0.6659, 0.3341, 0.5000], [0.3341, 0.6659, 0.5000], [0.1657, 0.8343, 0.0000], [0.8343, 0.1657, 0.0000]],
  "crystal_system": "monoclinic",
  "dos_ef_per_ev_cell": 18.4,
  "m_tot_mub_per_fu": 7.00,
  "rho_g_cm3": 5.0,
  "e_form_raw_ev_per_atom": -1.56
}

{
  "formula": "AsAu3",
  "functional": "PBE-GGA",
  "state": "relaxed",
  "lattice": [[-0.9202, 2.5493, -1.0735], [-0.0116, -1.1349, -2.6851], [-8.2300, -2.5090, 1.0961]],
  "species": ["As", "Au", "Au", "Au"],
  "frac_coords": [[0.0000, 0.0000, 0.0000], [0.0000, 0.0000, 0.5000], [0.5000, 0.5000, 0.2523], [0.5000, 0.5000, 0.7476]],
  "e_form_ev_per_atom": 0.12,
  "crystal_system": "tetragonal",
  "dos_ef_per_ev_cell": 0.8,
  "m_tot_mub_per_fu": 0.00,
  "rho_g_cm3": 15.0
}

{
  "formula": "V2Re3W",
  "functional": "PBE-GGA",
  "state": "relaxed",
  "lattice": [[-2.1965, 0.3959, 2.1142], [1.9002, -1.0589, 2.1724], [3.0360, 8.6113, 1.5419]],
  "species": ["W", "Re", "Re", "Re", "V", "V"],
  "frac_coords": [[0.5000, 0.5000, 0.5000], [0.0000, 0.0000, 0.3245], [0.0000, 0.0000, 0.0000], [0.0000, 0.0000, 0.6755], [0.5000, 0.5000, 0.1616], [0.5000, 0.5000, 0.8384]],
  "e_form_ev_per_atom": -0.22,
  "crystal_system": "tetragonal",
  "dos_ef_per_ev_cell": 3.4,
  "m_tot_mub_per_fu": 0.00,
  "rho_g_cm3": 16.0
}

{
  "formula": "MgAgC3",
  "functional": "PBE-GGA",
  "state": "relaxed",
  "lattice": [[-2.4882, 0.9792, -3.2099], [-0.2975, -4.0446, -1.0032], [-3.3427, -0.3689, 2.4787]],
  "species": ["Mg", "C", "C", "C", "Ag"],
  "frac_coords": [[0.5000, 0.5000, 0.5000], [0.0000, 0.0000, 0.5000], [0.5000, 0.0000, 0.0000], [0.0000, 0.5000, 0.0000], [0.0000, 0.0000, 0.0000]],
  "e_form_ev_per_atom": 2.88,
  "crystal_system": "cubic",
  "dos_ef_per_ev_cell": 3.8,
  "m_tot_mub_per_fu": 0.00,
  "rho_g_cm3": 3.8
}

{
  "formula": "ScHg2RuW",
  "functional": "PBE-GGA",
  "state": "relaxed",
  "lattice": [[5.0979, 0.0000, 0.0000], [0.0000, 4.3802, 0.0000], [0.0000, 0.0000, 5.0979]],
  "species": ["Ru", "Hg", "Hg", "Sc", "W"],
  "frac_coords": [[0.0000, 0.5000, 0.0000], [0.0000, 0.0000, 0.5000], [0.5000, 0.0000, 0.0000], [0.0000, 0.0000, 0.0000], [0.5000, 0.5000, 0.5000]],
  "e_form_ev_per_atom": 1.82,
  "crystal_system": "tetragonal",
  "dos_ef_per_ev_cell": 5.5,
  "m_tot_mub_per_fu": 0.00,
  "rho_g_cm3": 10.7
}

{
  "formula": "Pm6SiO12",
  "functional": "PBE-GGA",
  "state": "relaxed",
  "lattice": [[6.6061, -0.0072, -0.0086], [-1.0086, 6.5286, -0.0086], [-1.0086, -1.1751, 6.4220]],
  "species": ["Pm", "Pm", "Pm", "Pm", "Pm", "Pm", "O", "O", "O", "O", "O", "O", "O", "O", "O", "O", "O", "O", "Si"],
  "frac_coords": [[0.3932, 0.7021, 0.8591], [0.1409, 0.6068, 0.2979], [0.7021, 0.8591, 0.3932], [0.8591, 0.3932, 0.7021], [0.2979, 0.1409, 0.6068], [0.6068, 0.2979, 0.1409], [0.0284, 0.7251, 0.9350], [0.7251, 0.9350, 0.0284], [0.0650, 0.9716, 0.2749], [0.5566, 0.4059, 0.8229], [0.1771, 0.4434, 0.5941], [0.9350, 0.0284, 0.7251], [0.4434, 0.5941, 0.1771], [0.2749, 0.0650, 0.9716], [0.8229, 0.5566, 0.4059], [0.9716, 0.2749, 0.0650], [0.5941, 0.1771, 0.4434], [0.4059, 0.8229, 0.5566], [0.0000, 0.0000, 0.0000]],
  "crystal_system": "trigonal",
  "dos_ef_per_ev_cell": 12.0,
  "m_tot_mub_per_fu": 2.15,
  "rho_g_cm3": 6.5,
  "e_form_raw_ev_per_atom": -3.02
}